Material: Ac3Ga2Os2N3
Method: DFT, PBE
State: optimized geometry

Properties
uncorrected energy	-7.119	eV/atom
crystal system	tetragonal
total magnetization	0.00	μB/cell
energy relative to the elements, uncorrected	-0.54	eV/atom
density of states at the Fermi level	18.50	states/eV per cell

a = 4.0899 Å, b = 4.0899 Å, c = 23.7648 Å
α = 90.00°, β = 90.00°, γ = 90.00°
Space group I4/mmm (No. 139)
Asymmetric unit:
Ac  0.0000  0.0000  0.0000 [2 per cell]
Ac  0.0000  0.0000  0.3856 [4 per cell]
Ga  0.0000  0.5000  0.2500 [4 per cell]
Os  0.0000  0.0000  0.1859 [4 per cell]
N  0.0000  0.0000  0.1060 [4 per cell]
N  0.0000  0.0000  0.5000 [2 per cell]

Material: Ce2ThGe3
Method: DFT, PBE
State: optimized geometry

Properties
uncorrected energy	-6.211	eV/atom
crystal system	orthorhombic
total magnetization	0.01	μB/cell
energy relative to the elements	-15.870	kcal/mol of atoms
density of states at the Fermi level	10.57	states/eV per cell

a = 8.5105 Å, b = 6.0213 Å, c = 12.7814 Å
α = 90.00°, β = 90.00°, γ = 90.00°
Space group Pnma (No. 62)
Asymmetric unit:
Ce  0.1243  0.2500  0.0839 [4 per cell]
Ce  0.1252  0.2500  0.7483 [4 per cell]
Th  0.1254  0.2500  0.4180 [4 per cell]
Ge  0.1198  0.7500  0.0859 [4 per cell]
Ge  0.1251  0.7500  0.7492 [4 per cell]
Ge  0.1303  0.7500  0.4150 [4 per cell]